A plane-wave DFT calculation with PBE was carried out for a relaxed structure of Pr5Ho2ErSc.

Cell lengths 11.288, 11.288, 10.311 Å; angles 90.00, 90.00, 152.32 degrees
Atoms (fractional coordinates):
Pr 0.000 0.000 0.000
Pr 0.000 0.000 0.500
Pr 0.128 0.872 0.750
Pr 0.221 0.779 0.439
Pr 0.222 0.778 0.063
Pr 0.500 0.500 0.250
Pr 0.500 0.500 0.750
Pr 0.778 0.222 0.563
Pr 0.779 0.221 0.939
Pr 0.872 0.128 0.250
Ho 0.385 0.615 0.504
Ho 0.385 0.615 0.997
Ho 0.615 0.385 0.004
Ho 0.615 0.385 0.497
Er 0.102 0.898 0.250
Er 0.898 0.102 0.750
Sc 0.289 0.711 0.751
Sc 0.711 0.289 0.251

Computed properties:
The density of states at the Fermi level is 26.0 states/eV/cell. As for the space group: Cmc2_1. The calculation puts the final energy at -85.7 eV/cell. The crystal system is orthorhombic.